No. 1
ZnPtO3: optimized geometry, PBE.

Results
Total moment   0.426 μB/cell

abc: 3.9166 3.9166 3.9166
angles: 90.00 90.00 90.00
Last column: nearest neighbours and their distance in Å.
Space group Pm-3m (No. 221)
Symmetry-distinct sites (fractional):
1 Zn 0.0000 0.0000 0.0000  12 O 2.77
2 Pt 0.5000 0.5000 0.5000  6 O 1.96
3 O 0.0000 0.5000 0.5000  2 Pt 1.96

---

No. 2
ZrZnPt2O: optimized geometry, PBE.

Results
Total moment   0.000 μB/cell

abc: 4.4810 4.4810 5.1325
angles: 90.00 90.00 90.00
Last column: nearest neighbours and their distance in Å.
Space group P4/mmm (No. 123)
Symmetry-distinct sites (fractional):
1 Zr 0.0000 0.0000 0.0000  2 Zn 2.57
2 Zn 0.0000 0.0000 0.5000  4 Pt 2.24
3 Pt 0.0000 0.5000 0.5000  2 Zn 2.24
4 O 0.5000 0.5000 0.0000  4 Zr 3.17, 8 Pt 3.41

---

No. 3
ZrPt3O: optimized geometry, PBE.

Results
Total moment   0.000 μB/cell

abc: 4.3283 4.3283 4.3283
angles: 90.00 90.00 90.00
Last column: nearest neighbours and their distance in Å.
Space group Pm-3m (No. 221)
Symmetry-distinct sites (fractional):
1 Zr 0.0000 0.0000 0.0000  12 Pt 3.06
2 Pt 0.0000 0.5000 0.5000  2 O 2.16
3 O 0.5000 0.5000 0.5000  6 Pt 2.16

---

No. 4
ZrPtO3: optimized geometry, PBE.

Results
Total moment   2.004 μB/cell

abc: 4.1143 4.1143 4.1143
angles: 90.00 90.00 90.00
Last column: nearest neighbours and their distance in Å.
Space group Pm-3m (No. 221)
Symmetry-distinct sites (fractional):
1 Zr 0.0000 0.0000 0.0000  6 O 2.06
2 Pt 0.5000 0.5000 0.5000  12 O 2.91
3 O 0.0000 0.0000 0.5000  2 Zr 2.06

---

No. 5
ZrPtO2: optimized geometry, PBE.

Results
Total moment   0.000 μB/cell

abc: 3.4728 3.4728 16.7732
angles: 90.00 90.00 120.00
Last column: nearest neighbours and their distance in Å.
Space group R-3m (No. 166, hexagonal axes)
Symmetry-distinct sites (fractional):
1 Zr 0.0000 0.0000 0.0000  6 O 2.15
2 Pt 0.0000 0.0000 0.5000  2 O 2.01
3 O 0.0000 0.0000 0.3799  1 Pt 2.01, 3 Zr 2.15

---

No. 6
ZrPt3O: optimized geometry, PBE.

Results
Total moment   0.000 μB/cell

abc: 4.9693 4.9693 4.9693
angles: 90.00 90.00 90.00
Last column: nearest neighbours and their distance in Å.
Space group Pm-3m (No. 221)
Symmetry-distinct sites (fractional):
1 Zr 0.0000 0.0000 0.0000  6 Pt 2.48
2 Pt 0.0000 0.0000 0.5000  2 Zr 2.48
3 O 0.5000 0.5000 0.5000  12 Pt 3.51

---

No. 7
Zr3PtO: optimized geometry, PBE.

Results
Total moment   0.000 μB/cell

abc: 4.4233 4.4233 4.4233
angles: 90.00 90.00 90.00
Last column: nearest neighbours and their distance in Å.
Space group Pm-3m (No. 221)
Symmetry-distinct sites (fractional):
1 Zr 0.0000 0.0000 0.5000  2 O 2.21
2 Pt 0.5000 0.5000 0.5000  12 Zr 3.13
3 O 0.0000 0.0000 0.0000  6 Zr 2.21

---

No. 8
Zr3PtO: optimized geometry, PBE.

Results
Total moment   0.000 μB/cell

abc: 8.8207 11.6667 3.4377
angles: 90.00 90.00 90.00
Last column: nearest neighbours and their distance in Å.
Space group Cmmm (No. 65)
Symmetry-distinct sites (fractional):
1 Zr 0.0000 0.1970 0.0000  2 O 2.29
2 Zr 0.2003 0.3726 0.5000  2 O 2.28
3 Pt 0.0000 0.0000 0.5000  8 Zr 2.87-3.03
4 Pt 0.0000 0.5000 0.0000  8 Zr 2.88
5 O 0.2500 0.2500 0.0000  6 Zr 2.28-2.29

---

No. 9
ZrPtO2: optimized geometry, PBE.

Results
Total moment   0.000 μB/cell

abc: 5.7851 5.7851 5.7851
angles: 90.00 90.00 90.00
Last column: nearest neighbours and their distance in Å.
Space group Fm-3m (No. 225)
Symmetry-distinct sites (fractional):
1 Zr 0.0000 0.0000 0.0000  8 O 2.51
2 Pt 0.0000 0.0000 0.5000  8 O 2.51
3 O 0.2500 0.2500 0.2500  4 Zr 2.51, 4 Pt 2.51

---

No. 10
ZrPtO3: optimized geometry, PBE.

Results
Total moment   0.006 μB/cell

abc: 3.9826 3.9826 3.9826
angles: 90.00 90.00 90.00
Last column: nearest neighbours and their distance in Å.
Space group Pm-3m (No. 221)
Symmetry-distinct sites (fractional):
1 Zr 0.0000 0.0000 0.0000  12 O 2.82
2 Pt 0.5000 0.5000 0.5000  6 O 1.99
3 O 0.0000 0.5000 0.5000  2 Pt 1.99

---

No. 11
ZrPtO2: optimized geometry, PBE.

Results
Total moment   0.000 μB/cell

abc: 4.1836 4.1836 12.8571
angles: 90.00 90.00 90.00
Last column: nearest neighbours and their distance in Å.
Space group I-42d (No. 122)
Symmetry-distinct sites (fractional):
1 Zr 0.0000 0.0000 0.0000  4 O 2.12
2 Pt 0.0000 0.0000 0.5000  4 O 2.26
3 O 0.2150 0.2500 0.1250  2 Zr 2.12, 2 Pt 2.26

---

No. 12
Zr2PtO: optimized geometry, PBE.

Results
Total moment   0.000 μB/cell

abc: 5.4929 5.4929 10.6688
angles: 90.00 90.00 90.00
Last column: nearest neighbours and their distance in Å.
Space group I-42d (No. 122)
Symmetry-distinct sites (fractional):
1 Zr 0.1752 0.2500 0.1250  2 O 2.14
2 Pt 0.0000 0.0000 0.5000  4 Zr 2.62
3 O 0.0000 0.0000 0.0000  4 Zr 2.14

---

no.,ΔE_f (raw) (eV per atom)
1,-0.01
2,0.89
3,-0.11
4,-1.16
5,-1.84
6,1.47
7,-1.38
8,-1.37
9,-1.00
10,-0.57
11,-1.51
12,-1.47